# SrDy2FeN4

A relaxed structure of SrDy2FeN4 (PBE, the Alexandria database).

Unit cell a=3.4347 b=6.1382 c=11.6529 alpha=90.00 beta=90.00 gamma=106.25
Closest atoms and distances in Å follow each position.
Sites, in units of the cell vectors:
N (0.3953, 0.7906, 0.7500)  2 Fe 1.92
N (0.7396, 0.4792, 0.8779)  1 Fe 1.79
N (0.2604, 0.5208, 0.3779)  1 Fe 1.79
N (0.7396, 0.4792, 0.6221)  1 Fe 1.79
N (0.2604, 0.5208, 0.1221)  1 Fe 1.79
N (0.0000, 0.0000, 0.0000)  4 Dy 2.36
N (0.0000, 0.0000, 0.5000)  4 Dy 2.36
N (0.6047, 0.2094, 0.2500)  2 Fe 1.92
Dy (0.6308, 0.2615, 0.0438)  6 N 2.32-2.47
Dy (0.3692, 0.7385, 0.9562)  6 N 2.32-2.47
Dy (0.3692, 0.7385, 0.5438)  6 N 2.32-2.47
Dy (0.6308, 0.2615, 0.4562)  6 N 2.32-2.47
Sr (0.0961, 0.1921, 0.7500)  8 N 2.83-3.13
Sr (0.9039, 0.8079, 0.2500)  8 N 2.83-3.13
Fe (0.1767, 0.3535, 0.2500)  4 N 1.79-1.92
Fe (0.8233, 0.6465, 0.7500)  4 N 1.79-1.92

Calculated values
Energy in eV/atom: -7.59
Energy relative to the elements, uncorrected in eV per formula unit: -8.1
SG: Cmcm
Calculated density in g/cm³: 7.4


# DyTiFe11N

A relaxed structure of DyTiFe11N (PBE, the Alexandria database).

Unit cell a=6.5145 b=6.5145 c=6.5145 alpha=136.79 beta=98.17 gamma=97.41
Closest atoms and distances in Å follow each position.
Sites, in units of the cell vectors:
Fe (0.6410, 0.6410, 0.0000)  9 Fe 2.43-2.67
Fe (0.7772, 0.5000, 0.2772)  1 N 1.91
Fe (0.4987, 0.4977, 0.4999)  9 Fe 2.39-2.63, 1 Ti 2.67
Fe (0.2191, 0.7219, 0.4972)  1 N 1.91
Fe (0.0022, 0.5023, 0.0009)  9 Fe 2.39-2.63, 1 Ti 2.67
Fe (0.4987, 0.9987, 0.0009)  9 Fe 2.39-2.63, 1 Ti 2.67
Fe (0.0022, 0.0013, 0.4999)  9 Fe 2.39-2.63, 1 Ti 2.67
Fe (0.7752, 0.2781, 0.4972)  1 N 1.91
Fe (0.3590, 0.3590, 0.0000)  9 Fe 2.43-2.67
Fe (0.2266, 0.5000, 0.7266)  1 N 1.92
Fe (0.3572, 0.0000, 0.3572)  1 Ti 2.36, 6 Fe 2.61-2.65
Dy (0.0073, 0.0000, 0.0073)  2 N 2.40
N (0.0015, 0.5000, 0.5015)  4 Fe 1.91-1.92
Ti (0.6342, 0.0000, 0.6342)  1 Fe 2.36

Calculated values
Energy in eV/atom: -8.32
Energy relative to the elements, uncorrected in eV per formula unit: -2.5
SG: Imm2
Calculated density in g/cm³: 7.9


# DyV2Fe10N

A relaxed structure of DyV2Fe10N (PBE, the Alexandria database).

Unit cell a=6.4968 b=6.4968 c=6.4968 alpha=137.19 beta=97.84 gamma=97.47
Closest atoms and distances in Å follow each position.
Sites, in units of the cell vectors:
Fe (0.5000, 0.5000, 0.5000)  8 Fe 2.37-2.62, 2 V 2.61
Fe (0.7753, 0.5000, 0.2753)  1 N 1.92
Fe (0.2247, 0.5000, 0.7247)  1 N 1.92
Fe (0.6397, 0.0000, 0.6397)  9 Fe 2.38-2.65
Fe (0.2233, 0.7233, 0.5000)  1 N 1.91
Fe (0.0000, 0.0000, 0.5000)  8 Fe 2.37-2.62, 2 V 2.61
Fe (0.7767, 0.2767, 0.5000)  1 N 1.91
Fe (0.0000, 0.5000, 0.0000)  8 Fe 2.37-2.62, 2 V 2.61
Fe (0.5000, 0.0000, 0.0000)  8 Fe 2.37-2.62, 2 V 2.61
Fe (0.3603, 0.0000, 0.3603)  9 Fe 2.38-2.65
V (0.3589, 0.3589, 0.0000)  1 V 2.42, 8 Fe 2.61-2.64
V (0.6411, 0.6411, 0.0000)  1 V 2.42, 8 Fe 2.61-2.64
N (0.0000, 0.5000, 0.5000)  4 Fe 1.91-1.92
Dy (0.0000, 0.0000, 0.0000)  2 N 2.37

Calculated values
Energy in eV/atom: -8.43
Energy relative to the elements, uncorrected in eV per formula unit: -2.3
SG: Immm
Calculated density in g/cm³: 8.0


So what do the calculations give for D(E_F)? Going down the list: 0.5262; 0.7333; 0.8538 states/eV per atom.